DFT (PBE) results for a relaxed structure of ErAg3Hg.

Properties
For the density of states at the Fermi level, the calculation gives 0.528 states/eV per atom. Its energy is -2.776 eV per atom. The crystal system is orthorhombic. The calculation puts the total magnetization at 0.0 μB per formula unit.

a b c (Å): 4.912 7.898 11.192
angles (deg): 90.00 90.00 90.00
Space group Pnma (No. 62)
Unique sites:
Er 0.000 0.000 0.000 x4
Ag 0.002 0.073 0.312 x8
Ag 0.004 0.250 0.808 x4
Hg 0.002 0.250 0.544 x4